Here is crystalline NiBiS2 at its relaxed geometry from Alexandria. Energies are from PBE-GGA.

Summary:
**Electronic total energy**: -4.69 eV per atom
**Spin magnetization**: 0.0 μB/cell
**E_form (uncorrected)**: -211 meV per atom
**D(E_F)**: 0.6459 states/eV per atom

abc: 14.491 4.014 6.091
angles: 90.00 90.00 90.00
Space group Pnma (No. 62)
One atom of each set of equivalent atoms:
Ni: 0.024 0.250 0.116
Bi: 0.144 0.750 0.550
S: 0.012 0.250 0.754
S: 0.178 0.250 0.243